Version i
Compound: HoThAl2
Source: Alexandria via LeMat-Bulk
Functional: PBE
Structure: relaxed

abc: 4.2068 4.8468 4.8468
angles: 90.00 90.00 90.00
Positions (direct):
Th: 0.5000 0.0000 0.0000
Al: 0.0000 0.0000 0.5000
Ho: 0.5000 0.5000 0.5000
Al: 0.0000 0.5000 0.0000

Values from the calculation:
- SG: P4/mmm



Version ii
Compound: HoThAl2
Source: Alexandria via LeMat-Bulk
Functional: PBE
Structure: relaxed

abc: 3.6054 3.6054 9.5724
angles: 79.15 79.15 60.00
Positions (direct):
Th: 0.5000 0.5000 0.5000
Ho: 0.0000 0.0000 0.0000
Al: 0.2526 0.2526 0.2423
Al: 0.7474 0.7474 0.7577

Values from the calculation:
- SG: R-3m



The winner here is version i, beating the second structure by 198 meV per atom.



Version i
Compound: HoThAl2
Source: Alexandria via LeMat-Bulk
Functional: PBE
Structure: relaxed

abc: 3.4376 3.4376 8.2204
angles: 90.00 90.00 90.00
Positions (direct):
Ho: 0.5000 0.5000 0.0000
Al: 0.0000 0.0000 0.2387
Al: 0.0000 0.0000 0.7613
Th: 0.5000 0.5000 0.5000

Values from the calculation:
- SG: P4/mmm



Version ii
Compound: HoThAl2
Source: Alexandria via LeMat-Bulk
Functional: PBE
Structure: relaxed

abc: 4.1789 5.9965 8.2928
angles: 90.00 90.00 90.00
Positions (direct):
Al: 0.5000 0.8743 0.4650
Th: 0.0000 0.8658 0.1786
Th: 0.0000 0.1342 0.6786
Ho: 0.5000 0.3663 0.3211
Ho: 0.5000 0.6337 0.8211
Al: 0.0000 0.6231 0.5352
Al: 0.0000 0.3769 0.0352
Al: 0.5000 0.1257 0.9650

Values from the calculation:
- SG: Pmc2_1



Version iii
Compound: HoThAl2
Source: Alexandria via LeMat-Bulk
Functional: PBE
Structure: relaxed

abc: 5.1814 5.1814 5.1814
angles: 60.00 60.00 60.00
Positions (direct):
Al: 0.2500 0.2500 0.2500
Al: 0.7500 0.7500 0.7500
Ho: 0.0000 0.0000 0.0000
Th: 0.5000 0.5000 0.5000

Values from the calculation:
- SG: Fm-3m



The winner here is version ii, beating the second structure by 23 meV per atom.



Version i
Compound: Ho2ThAl6
Source: Alexandria via LeMat-Bulk
Functional: PBE
Structure: relaxed

abc: 3.5920 7.9002 7.9002
angles: 120.00 90.00 90.00
Positions (direct):
Al: 0.5000 0.0000 0.6648
Ho: 0.0000 0.3333 0.6667
Al: 0.5000 0.3352 0.3352
Al: 0.5000 0.0000 0.3352
Ho: 0.0000 0.6667 0.3333
Al: 0.5000 0.6648 0.6648
Al: 0.5000 0.6648 0.0000
Th: 0.0000 0.0000 0.0000
Al: 0.5000 0.3352 0.0000

Values from the calculation:
- SG: P6/mmm



Version ii
Compound: Ho2ThAl6
Source: Alexandria via LeMat-Bulk
Functional: PBE
Structure: relaxed

abc: 4.3400 7.9520 7.9520
angles: 53.98 74.16 74.16
Positions (direct):
Al: 0.1827 0.1256 0.5090
Th: 0.5000 0.5000 0.5000
Al: 0.8173 0.4910 0.8744
Ho: 0.3753 0.1247 0.1247
Al: 0.1827 0.5090 0.1256
Al: 0.8173 0.8744 0.4910
Al: 0.0000 0.1823 0.8177
Ho: 0.6247 0.8753 0.8753
Al: 0.0000 0.8177 0.1823

Values from the calculation:
- SG: Immm



The winner here is version i, beating the second structure by 240 meV per atom.



Version i
Compound: Ho4AlTl
Source: Alexandria via LeMat-Bulk
Functional: PBE
Structure: relaxed

abc: 5.0835 5.0842 7.2213
angles: 89.99 89.99 90.00
Positions (direct):
Ho: 0.0014 0.4973 0.7384
Ho: 0.5013 0.9974 0.7384
Tl: 0.5013 0.4973 0.9981
Ho: 0.5013 0.9971 0.2579
Al: 0.0013 0.9973 0.4981
Ho: 0.0012 0.4973 0.2580

Values from the calculation:
- SG: P4/mmm



Version ii
Compound: Ho4AlTl
Source: Alexandria via LeMat-Bulk
Functional: PBE
Structure: relaxed

abc: 3.4933 7.1681 8.7238
angles: 121.78 78.45 75.90
Positions (direct):
Ho: 0.8344 0.5111 0.8200
Tl: 0.0000 0.0000 0.0000
Ho: 0.1656 0.4889 0.1800
Ho: 0.3190 0.0286 0.3335
Al: 0.5000 0.5000 0.5000
Ho: 0.6810 0.9714 0.6665

Values from the calculation:
- SG: C2/m



The winner here is version ii, beating the second structure by 192 meV per atom.



Version i
Compound: HoTmAlTl
Source: Alexandria via LeMat-Bulk
Functional: PBE
Structure: relaxed

abc: 3.5822 3.5822 7.7617
angles: 90.00 90.00 90.00
Positions (direct):
Tm: 0.0000 0.0000 0.3724
Ho: 0.0000 0.0000 0.8408
Al: 0.5000 0.5000 0.6047
Tl: 0.5000 0.5000 0.1100

Values from the calculation:
- SG: P4mm



Version ii
Compound: HoTmAlTl
Source: Alexandria via LeMat-Bulk
Functional: PBE
Structure: relaxed

abc: 5.2059 5.2059 5.2059
angles: 60.00 60.00 60.00
Positions (direct):
Tl: 0.0000 0.0000 0.0000
Al: 0.5000 0.5000 0.5000
Tm: 0.7500 0.7500 0.7500
Ho: 0.2500 0.2500 0.2500

Values from the calculation:
- SG: F-43m



The winner here is version i, beating the second structure by 28 meV per atom.



Version i
Compound: HoTmAl
Source: Alexandria via LeMat-Bulk
Functional: PBE
Structure: relaxed

abc: 3.5097 5.0272 5.0272
angles: 120.00 90.00 90.00
Positions (direct):
Ho: 0.9513 0.0000 0.0000
Al: 0.6563 0.6667 0.3333
Tm: 0.3924 0.3333 0.6667

Values from the calculation:
- SG: P3m1



Version ii
Compound: HoTmAl
Source: Alexandria via LeMat-Bulk
Functional: PBE
Structure: relaxed

abc: 4.4880 4.4880 8.0193
angles: 90.00 90.00 90.00
Positions (direct):
Ho: 0.2500 0.2500 0.0000
Al: 0.7500 0.2500 0.7322
Tm: 0.7501 0.2499 0.3565
Al: 0.2500 0.7500 0.2678
Ho: 0.7500 0.7500 0.0000
Tm: 0.2499 0.7501 0.6435

Values from the calculation:
- SG: P4/nmm



Version iii
Compound: HoTmAl
Source: Alexandria via LeMat-Bulk
Functional: PBE
Structure: relaxed

abc: 8.1085 8.1085 3.4187
angles: 90.01 102.17 155.65
Positions (direct):
Al: 0.4624 0.4629 0.9253
Tm: 0.3348 0.0261 0.3609
Ho: 0.9179 0.2353 0.1532

Values from the calculation:
- SG: R3m



The winner here is version i, beating the second structure by 7 meV per atom.